(1)
DFT (GGA-PBE) results for a geometry-optimized LaAgAu6 structure.

CIF file:
```
data_LaAgAu6
_chemical_formula_sum 'La1 Ag1 Au6'
_symmetry_space_group_name_H-M 'P m -3'
_symmetry_Int_Tables_number 200
_symmetry_space_group_name_Hall '-P 2 2 3'
_cell_length_a 5.492
_cell_length_b 5.492
_cell_length_c 5.492
_cell_angle_alpha 90.00
_cell_angle_beta 90.00
_cell_angle_gamma 90.00
loop_
_atom_site_label
_atom_site_fract_x
_atom_site_fract_y
_atom_site_fract_z
La1 0.000 0.000 0.000
Ag1 0.500 0.500 0.500
Au1 0.000 0.254 0.500
```

- energy of formation from the pure elements (eV per atom) = -0.267
- total energy (eV per formula unit) = -29.58
- density (Mg/m³) = 14.32
- total magnetic moment (μB/f.u.) = 0.0

(2)
DFT (GGA-PBE) results for a geometry-optimized Ni8GePt6 structure.

CIF file:
```
data_Ni8GePt6
_chemical_formula_sum 'Ni8 Ge1 Pt6'
_symmetry_space_group_name_H-M 'P -1'
_symmetry_Int_Tables_number 2
_symmetry_space_group_name_Hall '-P 1'
_cell_length_a 5.141
_cell_length_b 6.354
_cell_length_c 7.026
_cell_angle_alpha 104.44
_cell_angle_beta 95.72
_cell_angle_gamma 105.50
loop_
_atom_site_label
_atom_site_fract_x
_atom_site_fract_y
_atom_site_fract_z
Ni1 0.035 0.361 0.082
Ni2 0.168 0.168 0.333
Ni3 0.315 0.978 0.593
Ni4 0.353 0.686 0.748
Ge1 0.500 0.500 0.000
Pt1 0.053 0.271 0.702
Pt2 0.265 0.050 0.961
Pt3 0.403 0.614 0.379
```

- energy of formation from the pure elements (eV per atom) = 0.065
- total energy (eV per formula unit) = -86.14
- density (Mg/m³) = 13.49
- total magnetic moment (μB/f.u.) = 5.8

(3)
DFT (GGA-PBE) results for a geometry-optimized Ca5BO8 structure.

CIF file:
```
data_Ca5BO8
_chemical_formula_sum 'Ca10 B2 O16'
_symmetry_space_group_name_H-M 'I -4'
_symmetry_Int_Tables_number 82
_symmetry_space_group_name_Hall 'I -4'
_cell_length_a 7.038
_cell_length_b 7.038
_cell_length_c 8.118
_cell_angle_alpha 90.00
_cell_angle_beta 90.00
_cell_angle_gamma 90.00
loop_
_atom_site_label
_atom_site_fract_x
_atom_site_fract_y
_atom_site_fract_z
Ca1 0.000 0.000 0.000
Ca2 0.122 0.291 0.398
B1 0.000 0.500 0.750
O1 0.025 0.676 0.653
O2 0.095 0.280 0.113
```

- ΔE_f (raw) (eV/atom) = -2.231
- total energy (eV per formula unit) = -87.58
- density (Mg/m³) = 2.80
- total magnetic moment (μB/f.u.) = 3.0